Record 1
PBE-GGA GaGeAu3, relaxed; calculated formation energy = 114 kJ/mol of formula units
1.0
4.941 0.000 0.000
0.000 4.941 0.000
0.000 0.000 4.941
Ga Au Ge
1 3 1
Direct
0.500 0.500 0.500 Ga
0.000 0.000 0.500 Au
0.000 0.500 0.000 Au
0.500 0.000 0.000 Au
0.000 0.000 0.000 Ge

Record 2
PBE-GGA GaGeAu2, relaxed; calculated formation energy = 8 kJ/mol of formula units
1.0
3.196 0.000 0.000
0.000 3.196 0.000
0.000 0.000 7.264
Ga Au Ge
1 2 1
Direct
0.500 0.500 0.000 Ga
0.000 0.000 0.759 Au
0.000 0.000 0.241 Au
0.500 0.500 0.500 Ge

Record 3
PBE-GGA GaGeAu, relaxed; calculated formation energy = -10 kJ/mol of formula units
1.0
-2.505 -6.163 0.867
4.307 -0.203 1.239
-1.283 2.417 3.604
Ge Au Ga
2 2 2
Direct
0.450 0.297 0.883 Ge
0.959 0.648 0.732 Ge
0.093 0.232 0.053 Au
0.560 0.630 0.471 Au
0.207 0.813 0.392 Ga
0.702 0.974 0.082 Ga

Record 4
PBE-GGA K2Ga3GeAu4, relaxed; calculated formation energy = -273 kJ/mol of formula units
1.0
-2.172 2.946 2.966
-3.336 0.794 -3.231
-5.554 -7.911 3.790
K Ga Au Ge
2 3 4 1
Direct
0.000 0.500 0.750 K
0.500 0.000 0.250 K
0.000 0.500 0.121 Ga
0.500 0.000 0.879 Ga
0.000 0.000 0.500 Ga
0.500 0.000 0.625 Au
0.000 0.000 0.000 Au
0.000 0.500 0.375 Au
0.500 0.500 0.000 Au
0.500 0.500 0.500 Ge

Record 5
PBE-GGA K2Ga4GeAu3, relaxed; calculated formation energy = -257 kJ/mol of formula units
1.0
4.676 0.000 0.000
0.000 4.676 0.000
0.000 0.000 10.572
K Ge Ga Au
2 1 4 3
Direct
0.000 0.500 0.748 K
0.500 0.000 0.252 K
0.500 0.500 0.500 Ge
0.500 0.000 0.628 Ga
0.000 0.000 0.000 Ga
0.000 0.500 0.372 Ga
0.500 0.500 0.000 Ga
0.000 0.500 0.123 Au
0.500 0.000 0.877 Au
0.000 0.000 0.500 Au

Record 6
PBE-GGA K2Ga4Ge3Au, relaxed; calculated formation energy = -161 kJ/mol of formula units
1.0
4.616 0.000 0.000
0.000 4.616 0.000
0.000 0.000 10.716
Ga Ge Au K
4 3 1 2
Direct
0.500 0.000 0.627 Ga
0.000 0.000 0.000 Ga
0.000 0.500 0.373 Ga
0.500 0.500 0.000 Ga
0.000 0.500 0.128 Ge
0.500 0.000 0.872 Ge
0.000 0.000 0.500 Ge
0.500 0.500 0.500 Au
0.500 0.000 0.250 K
0.000 0.500 0.750 K

Record 7
PBE-GGA KGa2Ge2Au6, relaxed; calculated formation energy = -143 kJ/mol of formula units
1.0
7.670 -0.837 0.967
2.610 6.789 -0.341
1.397 -4.626 4.812
Au Ga Ge K
6 2 2 1
Direct
0.496 0.425 0.152 Au
0.241 0.200 0.240 Au
0.956 0.376 0.092 Au
0.044 0.624 0.908 Au
0.759 0.800 0.760 Au
0.504 0.575 0.848 Au
0.087 0.727 0.329 Ga
0.913 0.273 0.671 Ga
0.751 0.189 0.220 Ge
0.249 0.811 0.780 Ge
0.500 0.000 0.500 K

Record 8
PBE-GGA KGaGeAu3, relaxed; calculated formation energy = -125 kJ/mol of formula units
1.0
-1.295 -0.159 6.972
-6.436 -1.908 -1.239
5.039 -5.317 0.814
K Ga Au Ge
2 2 6 2
Direct
0.750 0.240 0.479 K
0.250 0.760 0.521 K
0.750 0.912 0.824 Ga
0.250 0.088 0.176 Ga
0.750 0.720 0.440 Au
0.500 0.779 0.000 Au
0.000 0.221 0.000 Au
0.000 0.779 0.000 Au
0.500 0.221 0.000 Au
0.250 0.280 0.560 Au
0.750 0.529 0.057 Ge
0.250 0.471 0.943 Ge

Record 9
PBE-GGA La2GaGeAu6, relaxed; calculated formation energy = -488 kJ/mol of formula units
1.0
9.270 -0.333 0.069
-0.280 5.499 0.046
4.438 2.629 4.504
La Au Ge Ga
2 6 1 1
Direct
0.771 0.273 0.481 La
0.229 0.727 0.519 La
0.589 0.731 0.504 Au
0.821 0.820 0.855 Au
0.179 0.180 0.145 Au
0.411 0.269 0.496 Au
0.246 0.741 0.032 Au
0.754 0.259 0.968 Au
0.000 0.000 0.000 Ge
0.500 0.500 0.000 Ga

Record 10
PBE-GGA La2GaGe4Au3, relaxed; calculated formation energy = -557 kJ/mol of formula units
1.0
-0.292 2.862 -3.541
0.555 -3.499 -2.874
-10.262 -1.396 -0.282
Ge La Ga Au
4 2 1 3
Direct
0.000 0.500 0.370 Ge
0.500 0.000 0.630 Ge
0.500 0.500 0.000 Ge
0.000 0.000 0.000 Ge
0.000 0.500 0.752 La
0.500 0.000 0.248 La
0.500 0.500 0.500 Ga
0.000 0.000 0.500 Au
0.500 0.000 0.873 Au
0.000 0.500 0.127 Au

Record 11
PBE-GGA La3GaGe2Au6, relaxed; calculated formation energy = -613 kJ/mol of formula units
1.0
-2.128 5.515 2.357
-3.918 -3.771 -3.306
-2.203 -3.835 6.984
Ga Au La Ge
1 6 3 2
Direct
0.000 0.000 0.500 Ga
0.355 0.177 0.710 Au
0.177 0.355 0.290 Au
0.823 0.645 0.710 Au
0.645 0.823 0.290 Au
0.823 0.177 0.710 Au
0.177 0.823 0.290 Au
0.000 0.000 0.000 La
0.667 0.333 0.348 La
0.333 0.667 0.652 La
0.667 0.333 0.951 Ge
0.333 0.667 0.049 Ge

Record 12
PBE-GGA Li3Ga2Ge2Au4, relaxed; calculated formation energy = -383 kJ/mol of formula units
1.0
-0.027 -3.408 -2.882
2.495 -0.220 3.694
-8.979 -4.815 5.777
Au Ga Li Ge
4 2 3 2
Direct
0.333 0.667 0.363 Au
0.333 0.667 0.874 Au
0.667 0.333 0.637 Au
0.667 0.333 0.126 Au
0.667 0.333 0.412 Ga
0.333 0.667 0.588 Ga
0.000 0.000 0.000 Li
0.000 0.000 0.257 Li
0.000 0.000 0.743 Li
0.333 0.667 0.134 Ge
0.667 0.333 0.866 Ge

> Which value of calculated formation energy does entry 5 give?

-257 kJ/mol of formula units

> Number 1 is which compound?

GaGeAu3

> Among the records above, which one has the highest calculated formation energy?

GaGeAu3